Material: Mn3Cu4Bi4
Method: DFT, GGA-PBE
State: relaxed

Values from the calculation:
Raw total energy: -5.235 eV/atom
Energy relative to the elements: 0.1665 eV/atom
Calculated volume: 19.9 Å³ per atom

Lattice parameters (Å, degrees): 8.5287 8.5287 8.5287 60.00 60.00 60.00
Site moments in Bohr magnetons follow the coordinates.
Positions (direct):
Mn (0.0000, 0.5000, 0.5000)  3.85
Mn (0.5000, 0.0000, 0.0000)  3.85
Mn (0.5000, 0.5000, 0.0000)  3.85
Mn (0.5000, 0.0000, 0.5000)  3.85
Mn (0.0000, 0.5000, 0.0000)  3.85
Mn (0.0000, 0.0000, 0.5000)  3.85
Cu (0.8903, 0.8903, 0.8903)  0.03
Cu (0.1097, 0.6709, 0.1097)  0.03
Cu (0.1097, 0.1097, 0.1097)  0.03
Cu (0.8903, 0.3291, 0.8903)  0.03
Cu (0.8903, 0.8903, 0.3291)  0.03
Cu (0.3291, 0.8903, 0.8903)  0.03
Cu (0.1097, 0.1097, 0.6709)  0.03
Cu (0.6709, 0.1097, 0.1097)  0.03
Bi (0.7152, 0.7152, 0.2848)  -0.09
Bi (0.7152, 0.2848, 0.2848)  -0.09
Bi (0.2848, 0.7152, 0.7152)  -0.09
Bi (0.2848, 0.7152, 0.2848)  -0.09
Bi (0.7152, 0.2848, 0.7152)  -0.09
Bi (0.2848, 0.2848, 0.7152)  -0.09
Bi (0.7500, 0.7500, 0.7500)  -0.10
Bi (0.2500, 0.2500, 0.2500)  -0.10